This record from the Alexandria database describes a relaxed structure of TiGe3F. The functional is PBE.

Values from the calculation:
density of states at the Fermi level: 0.929 states/eV per atom
magnetization: 0.00 Bohr magnetons per cell
formation energy without anion corrections: 0.090 eV/atom

Cell lengths 4.9192, 4.9192, 4.9192 Å; angles 90.00, 90.00, 90.00 degrees
Space group Pm-3m (No. 221)
Symmetry-distinct sites (fractional):
Ti 0.0000 0.0000 0.0000 x1
Ge 0.0000 0.0000 0.5000 x3
F 0.5000 0.5000 0.5000 x1